# Tm8AsSe3S3, optimized geometry, DFT GGA-PBE
# Total moment = 0.00 μB per cell
# DOS at the Fermi energy = 0.50 states/eV/atom
# E_tot = -264.0 eV/cell
data_Tm8AsSe3S3
_chemical_formula_sum 'Tm24 As3 Se9 S9'
_space_group_name_H-M_alt 'R -3 m'
_space_group_IT_number 166
_space_group_name_Hall '-R 3 2"'
_cell_length_a 7.8149
_cell_length_b 7.8149
_cell_length_c 19.3878
_cell_angle_alpha 90.00
_cell_angle_beta 90.00
_cell_angle_gamma 120.00
loop_
_atom_site_label
_atom_site_type_symbol
_atom_site_fract_x
_atom_site_fract_y
_atom_site_fract_z
Tm1 Tm 0.0000 0.0000 0.2415
Tm2 Tm 0.0109 0.5054 0.7539
As1 As 0.0000 0.0000 0.5000
Se1 Se 0.0000 0.5000 0.0000
S1 S 0.0000 0.5000 0.5000



# U4AsSeS2, optimized geometry, DFT GGA-PBE
# Total moment = 37.45 μB per cell
# DOS at the Fermi energy = 2.46 states/eV/atom
# E_tot = -280.8 eV/cell
data_U4AsSeS2
_chemical_formula_sum 'U16 As4 Se4 S8'
_space_group_name_H-M_alt 'F m m m'
_space_group_IT_number 69
_space_group_name_Hall '-F 2 2'
_cell_length_a 7.732
_cell_length_b 8.158
_cell_length_c 11.247
_cell_angle_alpha 90.00
_cell_angle_beta 90.00
_cell_angle_gamma 90.00
loop_
_atom_site_label
_atom_site_type_symbol
_atom_site_fract_x
_atom_site_fract_y
_atom_site_fract_z
U1 U 0.000 0.000 0.250
U2 U 0.250 0.250 0.000
As1 As 0.000 0.000 0.000
Se1 Se 0.000 0.000 0.500
S1 S 0.250 0.250 0.250



# U6As3SeS2, optimized geometry, DFT GGA-PBE
# Total moment = 28.72 μB per cell
# DOS at the Fermi energy = 2.49 states/eV/atom
# E_tot = -210.3 eV/cell
data_U6As3SeS2
_chemical_formula_sum 'U12 As6 Se2 S4'
_space_group_name_H-M_alt 'C 1 2/m 1'
_space_group_IT_number 12
_cell_length_a 7.052
_cell_length_b 12.222
_cell_length_c 6.757
_cell_angle_alpha 90.00
_cell_angle_beta 110.44
_cell_angle_gamma 90.00
loop_
_space_group_symop_operation_xyz
'x,y,z'
'-x,-y,-z'
'-x,y,-z'
'x,-y,z'
'x+1/2,y+1/2,z'
'-x+1/2,-y+1/2,-z'
'-x+1/2,y+1/2,-z'
'x+1/2,-y+1/2,z'
loop_
_atom_site_label
_atom_site_type_symbol
_atom_site_fract_x
_atom_site_fract_y
_atom_site_fract_z
U1 U 0.235 0.000 0.235
U2 U 0.248 0.171 0.759
As1 As 0.000 0.000 0.500
As2 As 0.000 0.339 0.500
Se1 Se 0.000 0.500 0.000
S1 S 0.000 0.168 0.000



# VAs2SeS, optimized geometry, DFT GGA-PBE
# Total moment = 0.09 μB per cell
# DOS at the Fermi energy = 0.83 states/eV/atom
# Distance to the lowest polymorph of the same formula = 604 meV per atom
data_VAs2SeS
_chemical_formula_sum 'V1 As2 Se1 S1'
_space_group_name_H-M_alt 'P 4/m m m'
_space_group_IT_number 123
_space_group_name_Hall '-P 4 2'
_cell_length_a 4.730
_cell_length_b 4.730
_cell_length_c 4.708
_cell_angle_alpha 90.00
_cell_angle_beta 90.00
_cell_angle_gamma 90.00
loop_
_atom_site_label
_atom_site_type_symbol
_atom_site_fract_x
_atom_site_fract_y
_atom_site_fract_z
V1 V 0.000 0.000 0.000
As1 As 0.000 0.500 0.500
Se1 Se 0.500 0.500 0.000
S1 S 0.500 0.500 0.500



# VAsSe2S, optimized geometry, DFT GGA-PBE
# Total moment = 0.12 μB per cell
# DOS at the Fermi energy = 1.42 states/eV/atom
# Distance to the lowest polymorph of the same formula = 595 meV per atom
data_VAsSe2S
_chemical_formula_sum 'V1 As1 Se2 S1'
_space_group_name_H-M_alt 'P 4/m m m'
_space_group_IT_number 123
_space_group_name_Hall '-P 4 2'
_cell_length_a 4.742
_cell_length_b 4.742
_cell_length_c 4.767
_cell_angle_alpha 90.00
_cell_angle_beta 90.00
_cell_angle_gamma 90.00
loop_
_atom_site_label
_atom_site_type_symbol
_atom_site_fract_x
_atom_site_fract_y
_atom_site_fract_z
V1 V 0.000 0.000 0.000
As1 As 0.500 0.500 0.000
Se1 Se 0.000 0.500 0.500
S1 S 0.500 0.500 0.500



# VAsSe2S, optimized geometry, DFT GGA-PBE
# Total moment = 0.00 μB per cell
# DOS at the Fermi energy = 0.57 states/eV/atom
# Distance to the lowest polymorph of the same formula = 0 meV per atom
data_VAsSe2S
_chemical_formula_sum 'V1 As1 Se2 S1'
_space_group_name_H-M_alt 'P 4/m m m'
_space_group_IT_number 123
_space_group_name_Hall '-P 4 2'
_cell_length_a 4.635
_cell_length_b 4.635
_cell_length_c 4.972
_cell_angle_alpha 90.00
_cell_angle_beta 90.00
_cell_angle_gamma 90.00
loop_
_atom_site_label
_atom_site_type_symbol
_atom_site_fract_x
_atom_site_fract_y
_atom_site_fract_z
V1 V 0.000 0.000 0.000
As1 As 0.000 0.000 0.500
Se1 Se 0.000 0.500 0.000
S1 S 0.500 0.500 0.500



# VAs2SeS, optimized geometry, DFT GGA-PBE
# Total moment = 0.00 μB per cell
# DOS at the Fermi energy = 0.83 states/eV/atom
# Distance to the lowest polymorph of the same formula = 0 meV per atom
data_VAs2SeS
_chemical_formula_sum 'V1 As2 Se1 S1'
_space_group_name_H-M_alt 'P 4/m m m'
_space_group_IT_number 123
_space_group_name_Hall '-P 4 2'
_cell_length_a 4.777
_cell_length_b 4.777
_cell_length_c 4.589
_cell_angle_alpha 90.00
_cell_angle_beta 90.00
_cell_angle_gamma 90.00
loop_
_atom_site_label
_atom_site_type_symbol
_atom_site_fract_x
_atom_site_fract_y
_atom_site_fract_z
V1 V 0.000 0.000 0.000
As1 As 0.000 0.500 0.000
Se1 Se 0.000 0.000 0.500
S1 S 0.500 0.500 0.500



# As2WSeS, optimized geometry, DFT GGA-PBE
# Total moment = 0.00 μB per cell
# DOS at the Fermi energy = 0.56 states/eV/atom
# Distance to the lowest polymorph of the same formula = 0 meV per atom
data_As2WSeS
_chemical_formula_sum 'As2 W1 Se1 S1'
_space_group_name_H-M_alt 'P 4/m m m'
_space_group_IT_number 123
_space_group_name_Hall '-P 4 2'
_cell_length_a 4.942
_cell_length_b 4.942
_cell_length_c 4.734
_cell_angle_alpha 90.00
_cell_angle_beta 90.00
_cell_angle_gamma 90.00
loop_
_atom_site_label
_atom_site_type_symbol
_atom_site_fract_x
_atom_site_fract_y
_atom_site_fract_z
As1 As 0.000 0.500 0.000
W1 W 0.000 0.000 0.000
Se1 Se 0.000 0.000 0.500
S1 S 0.500 0.500 0.500



# AsWSe2S, optimized geometry, DFT GGA-PBE
# Total moment = 2.28 μB per cell
# DOS at the Fermi energy = 0.40 states/eV/atom
# Distance to the lowest polymorph of the same formula = 827 meV per atom
data_AsWSe2S
_chemical_formula_sum 'As1 W1 Se2 S1'
_space_group_name_H-M_alt 'P 4/m m m'
_space_group_IT_number 123
_space_group_name_Hall '-P 4 2'
_cell_length_a 4.675
_cell_length_b 4.675
_cell_length_c 4.780
_cell_angle_alpha 90.00
_cell_angle_beta 90.00
_cell_angle_gamma 90.00
loop_
_atom_site_label
_atom_site_type_symbol
_atom_site_fract_x
_atom_site_fract_y
_atom_site_fract_z
As1 As 0.000 0.000 0.000
W1 W 0.500 0.500 0.000
Se1 Se 0.000 0.500 0.500
S1 S 0.000 0.000 0.500



# AsWSe2S, optimized geometry, DFT GGA-PBE
# Total moment = 0.55 μB per cell
# DOS at the Fermi energy = 0.96 states/eV/atom
# Distance to the lowest polymorph of the same formula = 0 meV per atom
data_AsWSe2S
_chemical_formula_sum 'As1 W1 Se2 S1'
_space_group_name_H-M_alt 'P 4/m m m'
_space_group_IT_number 123
_space_group_name_Hall '-P 4 2'
_cell_length_a 5.041
_cell_length_b 5.041
_cell_length_c 4.500
_cell_angle_alpha 90.00
_cell_angle_beta 90.00
_cell_angle_gamma 90.00
loop_
_atom_site_label
_atom_site_type_symbol
_atom_site_fract_x
_atom_site_fract_y
_atom_site_fract_z
As1 As 0.000 0.000 0.000
W1 W 0.500 0.500 0.500
Se1 Se 0.000 0.500 0.500
S1 S 0.500 0.500 0.000



# AsWSe2S, optimized geometry, DFT GGA-PBE
# Total moment = 0.00 μB per cell
# DOS at the Fermi energy = 1.01 states/eV/atom
# Distance to the lowest polymorph of the same formula = 148 meV per atom
data_AsWSe2S
_chemical_formula_sum 'As1 W1 Se2 S1'
_space_group_name_H-M_alt 'P 4/m m m'
_space_group_IT_number 123
_space_group_name_Hall '-P 4 2'
_cell_length_a 4.801
_cell_length_b 4.801
_cell_length_c 5.072
_cell_angle_alpha 90.00
_cell_angle_beta 90.00
_cell_angle_gamma 90.00
loop_
_atom_site_label
_atom_site_type_symbol
_atom_site_fract_x
_atom_site_fract_y
_atom_site_fract_z
As1 As 0.000 0.000 0.000
W1 W 0.000 0.000 0.500
Se1 Se 0.000 0.500 0.500
S1 S 0.500 0.500 0.000



# As2WSeS, optimized geometry, DFT GGA-PBE
# Total moment = 2.34 μB per cell
# DOS at the Fermi energy = 0.64 states/eV/atom
# Distance to the lowest polymorph of the same formula = 681 meV per atom
data_As2WSeS
_chemical_formula_sum 'As2 W1 Se1 S1'
_space_group_name_H-M_alt 'P 4/m m m'
_space_group_IT_number 123
_space_group_name_Hall '-P 4 2'
_cell_length_a 4.693
_cell_length_b 4.693
_cell_length_c 4.643
_cell_angle_alpha 90.00
_cell_angle_beta 90.00
_cell_angle_gamma 90.00
loop_
_atom_site_label
_atom_site_type_symbol
_atom_site_fract_x
_atom_site_fract_y
_atom_site_fract_z
As1 As 0.000 0.500 0.000
W1 W 0.000 0.000 0.500
Se1 Se 0.500 0.500 0.500
S1 S 0.500 0.500 0.000